EuLuCu4 | GGA-PBE | optimized geometry

Calculated values
- Uncorrected energy: -127.2 eV per cell

a = 7.460 Å, b = 7.460 Å, c = 7.460 Å
α = 90.00°, β = 90.00°, γ = 90.00°
Space group F-43m (No. 216)
Symmetry-distinct sites (fractional):
1 Eu 0.000 0.000 0.000
2 Lu 0.250 0.250 0.250
3 Cu 0.124 0.124 0.624

=====

Ba2Sr7Li2 | GGA-PBE | optimized geometry

Calculated values
- Uncorrected energy: -37.6 eV per cell

a = 7.420 Å, b = 12.091 Å, c = 12.942 Å
α = 90.00°, β = 104.90°, γ = 90.00°
Space group C2/m (No. 12)
Symmetry-distinct sites (fractional):
1 Ba 0.000 0.250 0.000
2 Sr 0.000 0.000 0.500
3 Sr 0.100 0.329 0.670
4 Sr 0.168 0.000 0.814
5 Li 0.210 0.500 0.904

=====

Sc2BeMo2 | GGA-PBE | optimized geometry

Calculated values
- Uncorrected energy: -73.7 eV per cell

a = 6.430 Å, b = 6.430 Å, c = 4.292 Å
α = 90.00°, β = 90.00°, γ = 90.00°
Space group P4/mbm (No. 127)
Symmetry-distinct sites (fractional):
1 Sc 0.173 0.327 0.000
2 Be 0.000 0.000 0.500
3 Mo 0.136 0.636 0.500

=====

TlPtBr2 | GGA-PBE | optimized geometry

Calculated values
- ΔE_f (raw): -0.81 eV/f.u.

a = 4.823 Å, b = 4.922 Å, c = 5.266 Å
α = 90.00°, β = 94.95°, γ = 90.00°
Space group Pm (No. 6)
Symmetry-distinct sites (fractional):
1 Tl 0.000 0.000 0.000
2 Pt 0.546 0.500 0.556
3 Br 0.437 0.000 0.541
4 Br 0.521 0.500 0.055

=====

Ca3EuAu | GGA-PBE | optimized geometry

Calculated values
- Uncorrected energy: -21.1 eV per cell

a = 5.814 Å, b = 5.814 Å, c = 5.814 Å
α = 90.00°, β = 90.00°, γ = 90.00°
Space group Pm-3m (No. 221)
Symmetry-distinct sites (fractional):
1 Ca 0.000 0.000 0.500
2 Eu 0.500 0.500 0.500
3 Au 0.000 0.000 0.000

=====

CrFeP | GGA-PBE | optimized geometry

Calculated values
- Uncorrected energy: -23.5 eV per cell

a = 2.6165 Å, b = 2.6165 Å, c = 5.6264 Å
α = 90.00°, β = 90.00°, γ = 120.00°
Space group P3m1 (No. 156)
Symmetry-distinct sites (fractional):
1 Cr 0.0000 0.0000 0.0000
2 Fe 0.6667 0.3333 0.3487
3 P 0.3333 0.6667 0.6600